# 1
Material: FeCuBiSb2
Method: DFT, PBE
State: optimized geometry

Structure (extended XYZ):
```
5
Lattice="5.033 0.000 0.000 0.000 5.248 0.000 0.000 0.000 5.033" Properties=species:S:1:pos:R:3 pbc="T T T"
Bi 0.000 2.624 0.000
Sb 0.000 0.000 2.516
Sb 2.516 0.000 0.000
Fe 2.516 2.624 2.516
Cu 0.000 0.000 0.000
```

Properties
Symmetry: P4/mmm (123)
Energy relative to the elements, uncorrected (eV per atom): 0.890
Final energy (Ha/atom): -0.1487
D(E_F) (states/eV per atom): 1.1851

# 2
Material: Ti2FeCuBi
Method: DFT, PBE
State: optimized geometry

Structure (extended XYZ):
```
5
Lattice="4.601 0.000 0.000 0.000 4.810 0.000 0.000 0.000 4.601" Properties=species:S:1:pos:R:3 pbc="T T T"
Fe 2.301 2.405 2.301
Ti 0.000 0.000 2.301
Ti 2.301 0.000 0.000
Cu 0.000 0.000 0.000
Bi 0.000 2.405 0.000
```

Properties
Formation energy from the elements (meV per atom): 1173
Symmetry: P4/mmm (123)
Final energy (Ha/atom): -0.1938
D(E_F) (states/eV per atom): 1.5020

# 3
Material: YFeCu2Bi
Method: DFT, PBE
State: optimized geometry

Structure (extended XYZ):
```
5
Lattice="4.865 0.000 0.000 0.000 5.968 0.000 0.000 0.000 4.865" Properties=species:S:1:pos:R:3 pbc="T T T"
Y 0.000 2.984 0.000
Cu 2.432 0.000 0.000
Cu 0.000 0.000 2.432
Bi 0.000 0.000 0.000
Fe 2.432 2.984 2.432
```

Properties
Formation energy from the elements (meV per atom): 1009
Symmetry: P4/mmm (123)
Final energy (Ha/atom): -0.1614
D(E_F) (states/eV per atom): 1.7547

# 4
Material: ZnFeCuBi2
Method: DFT, PBE
State: optimized geometry

Structure (extended XYZ):
```
5
Lattice="5.305 0.000 0.000 0.000 4.607 0.000 0.000 0.000 5.305" Properties=species:S:1:pos:R:3 pbc="T T T"
Zn 0.000 0.000 0.000
Fe 0.000 2.303 0.000
Cu 2.653 2.303 2.653
Bi 0.000 0.000 2.653
Bi 2.653 0.000 0.000
```

Properties
Formation energy from the elements (meV per atom): 995
Symmetry: P4/mmm (123)
Final energy (Ha/atom): -0.1221
D(E_F) (states/eV per atom): 0.9699